Crystalline Sc3PaH at its relaxed geometry, computed with PBE-GGA.

abc: 4.5704 4.5704 4.5704
angles: 90.00 90.00 90.00
Last column: nearest neighbours and their distance in Å.
Atoms (fractional coordinates):
Sc (0.0000, 0.0000, 0.5000)  2 H 2.29
Sc (0.5000, 0.0000, 0.0000)  2 H 2.29
Sc (0.0000, 0.5000, 0.0000)  2 H 2.29
H (0.0000, 0.0000, 0.0000)  6 Sc 2.29
Pa (0.5000, 0.5000, 0.5000)  12 Sc 3.23

- DFT total energy (eV/atom) = -6.37
- density of states at the Fermi level (states/eV/f.u.) = 6.06
- magnetic moment (μB/atom) = 0.000


Crystalline Sc2PaH at its relaxed geometry, computed with PBE-GGA.

abc: 3.1244 3.1244 8.7816
angles: 79.75 79.75 60.00
Last column: nearest neighbours and their distance in Å.
Atoms (fractional coordinates):
H (0.5000, 0.5000, 0.5000)  6 Sc 2.20
Sc (0.8823, 0.8823, 0.3532)  3 H 2.20
Sc (0.1177, 0.1177, 0.6468)  3 H 2.20
Pa (0.0000, 0.0000, 0.0000)  2 Sc 3.04, 6 Pa 3.12

- density of states at the Fermi level (states/eV/f.u.) = 4.63
- magnetic moment (μB/atom) = 0.000
- ΔE to the lowest computed polymorph (meV/atom) = 0


Crystalline Sc2PaH at its relaxed geometry, computed with PBE-GGA.

abc: 3.0107 3.0107 8.0780
angles: 90.00 90.00 90.00
Last column: nearest neighbours and their distance in Å.
Atoms (fractional coordinates):
Sc (0.0000, 0.0000, 0.8125)  4 H 2.61
Sc (0.0000, 0.0000, 0.1875)  4 H 2.61
H (0.5000, 0.5000, 0.0000)  8 Sc 2.61
Pa (0.5000, 0.5000, 0.5000)  4 Pa 3.01, 8 Sc 3.30

- density of states at the Fermi level (states/eV/f.u.) = 6.31
- magnetic moment (μB/atom) = 0.000
- ΔE to the lowest computed polymorph (meV/atom) = 180


Crystalline ScPa2H at its relaxed geometry, computed with PBE-GGA.

abc: 3.1319 3.1319 9.2470
angles: 80.25 80.25 60.00
Last column: nearest neighbours and their distance in Å.
Atoms (fractional coordinates):
Sc (0.0000, 0.0000, 0.0000)  2 Pa 2.95, 6 Sc 3.13
Pa (0.8915, 0.8915, 0.3256)  3 H 2.40
Pa (0.1085, 0.1085, 0.6744)  3 H 2.40
H (0.5000, 0.5000, 0.5000)  6 Pa 2.40

- DFT total energy (eV/atom) = -7.06
- density of states at the Fermi level (states/eV/f.u.) = 7.02
- magnetic moment (μB/atom) = 0.000


Crystalline ScPa2H8 at its relaxed geometry, computed with PBE-GGA.

abc: 3.7918 4.6606 6.4713
angles: 111.11 107.04 90.00
Last column: nearest neighbours and their distance in Å.
Atoms (fractional coordinates):
Pa (0.8265, 0.3265, 0.6529)  12 H 2.27-2.36
Pa (0.1735, 0.6735, 0.3471)  12 H 2.27-2.36
H (0.0000, 0.2444, 0.0000)  2 Sc 2.21, 2 H 2.28-2.38, 2 Pa 2.32
H (0.7963, 0.7963, 0.5926)  6 H 2.09-2.30
H (0.0000, 0.7556, 0.0000)  2 Sc 2.21, 2 H 2.28-2.38, 2 Pa 2.32
H (0.3524, 0.0937, 0.7049)  1 Sc 2.03, 2 H 2.09-2.25, 2 Pa 2.27
H (0.2037, 0.2037, 0.4074)  6 H 2.09-2.30
H (0.6476, 0.3888, 0.2951)  1 Sc 2.03, 2 H 2.09-2.25, 2 Pa 2.27
H (0.3524, 0.6112, 0.7049)  1 Sc 2.03, 2 H 2.09-2.25, 2 Pa 2.27
H (0.6476, 0.9063, 0.2951)  1 Sc 2.03, 2 H 2.09-2.25, 2 Pa 2.27
Sc (0.5000, 0.0000, 0.0000)  8 H 2.03-2.21

- DFT total energy (eV/atom) = -5.13
- density of states at the Fermi level (states/eV/f.u.) = 8.56
- magnetic moment (μB/atom) = 0.239


Crystalline Pa2H2Se at its relaxed geometry, computed with PBE-GGA.

abc: 5.8759 5.8758 5.8440
angles: 111.52 108.38 108.75
Last column: nearest neighbours and their distance in Å.
Atoms (fractional coordinates):
Pa (0.1859, 0.8456, 0.8431)  4 H 2.22-2.33
Pa (0.5026, 0.3428, 0.6569)  4 H 2.22-2.33
Pa (0.4974, 0.6572, 0.3431)  4 H 2.22-2.33
Pa (0.8141, 0.1544, 0.1569)  4 H 2.22-2.33
H (0.4973, 0.7161, 0.9808)  4 Pa 2.22-2.33, 1 H 2.22
H (0.2353, 0.5165, 0.5192)  4 Pa 2.22-2.33, 1 H 2.22
H (0.7647, 0.4835, 0.4808)  4 Pa 2.22-2.33, 1 H 2.22
H (0.5027, 0.2839, 0.0192)  4 Pa 2.22-2.33, 1 H 2.22
Se (0.9851, 0.2351, 0.7500)  4 H 2.81-2.84, 6 Pa 2.99-3.09
Se (0.0149, 0.7649, 0.2500)  4 H 2.81-2.84, 6 Pa 2.99-3.09

- DFT total energy (eV/atom) = -6.41
- density of states at the Fermi level (states/eV/f.u.) = 7.19
- magnetic moment (μB/atom) = 0.281


> Which of these has the lowest density of states at the Fermi level?

number 2